Sr3Sb2Pd3: optimized geometry, PBE.

Density of states at the Fermi level ... 22.28 states/eV/cell
Formation energy without anion corrections ... -584 kJ/mol of formula units

Cell lengths 4.7703, 11.3135, 15.9495 Å; angles 90.00, 90.00, 90.00 degrees
Space group Cmcm (No. 63)
Asymmetric unit:
Sr  0.0000  0.0899  0.1033 [8 per cell]
Sr  0.0000  0.3857  0.2500 [4 per cell]
Sb  0.0000  0.2027  0.5994 [8 per cell]
Pd  0.0000  0.3090  0.7500 [4 per cell]
Pd  0.0000  0.3704  0.0370 [8 per cell]

=====

Pr4Ga2Br5: optimized geometry, PBE.

Density of states at the Fermi level ... 6.96 states/eV/cell
Formation energy without anion corrections ... -1315 kJ/mol of formula units

Cell lengths 24.3040, 4.2140, 8.5410 Å; angles 90.00, 98.01, 90.00 degrees
Space group C2/m (No. 12)
Asymmetric unit:
Pr  0.0135  0.0000  0.2794 [4 per cell]
Pr  0.1608  0.5000  0.4599 [4 per cell]
Ga  0.0507  0.5000  0.5393 [4 per cell]
Br  0.0000  0.5000  0.0000 [2 per cell]
Br  0.1360  0.0000  0.2110 [4 per cell]
Br  0.2195  0.0000  0.6718 [4 per cell]

=====

Ta2ZnCr2: optimized geometry, PBE.

Formation energy ... 0.256 eV per atom
Density of states at the Fermi level ... 5.53 states/eV/cell

Cell lengths 6.8789, 6.8789, 3.2529 Å; angles 90.00, 90.00, 90.00 degrees
Space group P4/mbm (No. 127)
Asymmetric unit:
Ta  0.1937  0.3063  0.0000 [4 per cell]
Zn  0.0000  0.0000  0.5000 [2 per cell]
Cr  0.1062  0.6062  0.5000 [4 per cell]

=====

Ac3Nd7Sm: optimized geometry, PBE.

Formation energy ... 0.251 eV per atom
Density of states at the Fermi level ... 34.54 states/eV/cell

Cell lengths 6.0507, 11.8222, 11.9624 Å; angles 90.00, 90.00, 90.00 degrees
Space group Immm (No. 71)
Asymmetric unit:
Ac  0.0000  0.0000  0.0000 [2 per cell]
Ac  0.0000  0.2885  0.5000 [4 per cell]
Nd  0.0000  0.0000  0.5000 [2 per cell]
Nd  0.0000  0.2056  0.2035 [8 per cell]
Nd  0.0000  0.5000  0.2855 [4 per cell]
Sm  0.0000  0.5000  0.0000 [2 per cell]

=====

Y3HoH: optimized geometry, PBE.

Density of states at the Fermi level ... 5.02 states/eV/cell
Final energy ... -5.6198 eV/atom

Cell lengths 5.0055, 5.0055, 5.0055 Å; angles 90.00, 90.00, 90.00 degrees
Space group Pm-3m (No. 221)
Asymmetric unit:
Y  0.0000  0.0000  0.5000 [3 per cell]
Ho  0.5000  0.5000  0.5000 [1 per cell]
H  0.0000  0.0000  0.0000 [1 per cell]

=====

NdHo3Er7: optimized geometry, PBE.

Formation energy ... 0.153 eV per atom
Density of states at the Fermi level ... 17.78 states/eV/cell
ΔE to the lowest computed polymorph ... 0.00 kcal/mol of atoms

Cell lengths 6.8895, 5.4897, 9.8307 Å; angles 90.00, 109.30, 90.00 degrees
Space group P2/m (No. 10)
Asymmetric unit:
Nd  0.0000  0.0000  0.0000 [1 per cell]
Ho  0.2762  0.5000  0.4946 [2 per cell]
Ho  0.5000  0.0000  0.0000 [1 per cell]
Er  0.0000  0.0000  0.5000 [1 per cell]
Er  0.1501  0.5000  0.7898 [2 per cell]
Er  0.3237  0.5000  0.1424 [2 per cell]
Er  0.4283  0.0000  0.3320 [2 per cell]

=====

CsSeN2F: optimized geometry, PBE.

Density of states at the Fermi level ... 4.86 states/eV/cell
ΔE to the lowest computed polymorph ... 39.31 kcal/mol of atoms
Formation energy without anion corrections ... 1015 kJ/mol of formula units

Cell lengths 4.5222, 4.5222, 4.7310 Å; angles 90.00, 90.00, 90.00 degrees
Space group P4/mmm (No. 123)
Asymmetric unit:
Cs  0.0000  0.0000  0.0000 [1 per cell]
Se  0.5000  0.5000  0.5000 [1 per cell]
N  0.0000  0.5000  0.0000 [2 per cell]
F  0.0000  0.0000  0.5000 [1 per cell]

=====

Ce12HgRu6: optimized geometry, PBE.

Formation energy ... -0.109 eV per atom
Density of states at the Fermi level ... 136.54 states/eV/cell

Cell lengths 13.4272, 13.4272, 9.1789 Å; angles 90.00, 90.00, 120.00 degrees
Space group R-3m (No. 166, hexagonal axes)
Asymmetric unit:
Ce  0.0000  0.3900  0.0000 [18 per cell]
Ce  0.0871  0.1742  0.8242 [18 per cell]
Hg  0.0000  0.0000  0.5000 [3 per cell]
Ru  0.0592  0.5296  0.7401 [18 per cell]

=====

Copy entry 6 word for word.
NdHo3Er7: optimized geometry, PBE.

Formation energy ... 0.153 eV per atom
Density of states at the Fermi level ... 17.78 states/eV/cell
ΔE to the lowest computed polymorph ... 0.00 kcal/mol of atoms

Cell lengths 6.8895, 5.4897, 9.8307 Å; angles 90.00, 109.30, 90.00 degrees
Space group P2/m (No. 10)
Asymmetric unit:
Nd  0.0000  0.0000  0.0000 [1 per cell]
Ho  0.2762  0.5000  0.4946 [2 per cell]
Ho  0.5000  0.0000  0.0000 [1 per cell]
Er  0.0000  0.0000  0.5000 [1 per cell]
Er  0.1501  0.5000  0.7898 [2 per cell]
Er  0.3237  0.5000  0.1424 [2 per cell]
Er  0.4283  0.0000  0.3320 [2 per cell]

=====

Copy entry 6 word for word.
NdHo3Er7: optimized geometry, PBE.

Formation energy ... 0.153 eV per atom
Density of states at the Fermi level ... 17.78 states/eV/cell
ΔE to the lowest computed polymorph ... 0.00 kcal/mol of atoms

Cell lengths 6.8895, 5.4897, 9.8307 Å; angles 90.00, 109.30, 90.00 degrees
Space group P2/m (No. 10)
Asymmetric unit:
Nd  0.0000  0.0000  0.0000 [1 per cell]
Ho  0.2762  0.5000  0.4946 [2 per cell]
Ho  0.5000  0.0000  0.0000 [1 per cell]
Er  0.0000  0.0000  0.5000 [1 per cell]
Er  0.1501  0.5000  0.7898 [2 per cell]
Er  0.3237  0.5000  0.1424 [2 per cell]
Er  0.4283  0.0000  0.3320 [2 per cell]

=====

What is the formula in the eighth record?
Ce12HgRu6